TlZnHg2 | PBE | optimized geometry

The calculation puts the total energy at -0.99 eV/atom.

The structure belongs to space group R3m (No. 160, hexagonal axes); the cell edges are 3.7508, 3.7508 and 25.7091 Å and the angles 90.00°, 90.00° and 120.00°. The asymmetric unit holds Tl at (0.0000, 0.0000, 0.0000), Zn at (0.0000, 0.0000, 0.8307), Hg at (0.0000, 0.0000, 0.2362) and Hg at (0.0000, 0.0000, 0.4268).